! PBE SrLaMg2Sb, optimized geometry; values from VASP
&SYSTEM
  ibrav = 0, nat = 5, ntyp = 4
/
ATOMIC_SPECIES
Sb 121.76 Sb.upf
Mg 24.30 Mg.upf
La 138.91 La.upf
Sr 87.62 Sr.upf
CELL_PARAMETERS angstrom
5.9215 0.0000 0.0000
0.0000 6.0361 0.0000
0.0000 0.0000 5.9215
ATOMIC_POSITIONS crystal
Sb 0.0000 0.5000 0.0000
Mg 0.0000 0.0000 0.5000
Mg 0.5000 0.0000 0.0000
La 0.0000 0.0000 0.0000
Sr 0.5000 0.5000 0.5000
! - Electronic total energy: -2.547 eV/atom